[1]
A plane-wave DFT calculation with PBE-GGA was carried out for a geometry-optimized CsRbNa2Ge structure.

POSCAR file:
```
CsRbNa2Ge
1.0
6.082 0.000 0.000
0.000 6.082 0.000
0.000 0.000 6.892
Cs Rb Na Ge
1 1 2 1
Direct
0.000 0.000 0.000
0.500 0.500 0.000
0.000 0.500 0.500
0.500 0.000 0.500
0.000 0.000 0.500
```

Values from the calculation:
space group = No. 123
total moment = 0.00 Bohr magnetons per cell
offset from the most stable computed form = 4.7 kJ/mol of atoms
energy relative to the elements = 11 kJ per mole of atoms
Fermi-level density of states = 2.4 states/eV/f.u.

***

[2]
A plane-wave DFT calculation with PBE-GGA was carried out for a geometry-optimized Cs2NaGeRh structure.

POSCAR file:
```
Cs2NaGeRh
1.0
6.560 0.000 0.000
0.000 6.560 0.000
0.000 0.000 5.390
Cs Na Ge Rh
2 1 1 1
Direct
0.000 0.500 0.000
0.500 0.000 0.000
0.000 0.000 0.000
0.000 0.000 0.500
0.500 0.500 0.500
```

Values from the calculation:
space group = No. 123
total moment = 0.28 Bohr magnetons per cell
energy relative to the elements = 94 kJ per mole of atoms
Fermi-level density of states = 3.4 states/eV/f.u.

***

[3]
A plane-wave DFT calculation with PBE-GGA was carried out for a geometry-optimized CsNaGe2Ru structure.

POSCAR file:
```
CsNaGe2Ru
1.0
5.297 0.000 0.000
0.000 5.297 0.000
0.000 0.000 5.339
Cs Na Ge Ru
1 1 2 1
Direct
0.000 0.000 0.000
0.500 0.500 0.500
0.000 0.500 0.500
0.500 0.000 0.500
0.500 0.500 0.000
```

Values from the calculation:
space group = No. 123
total moment = 2.08 Bohr magnetons per cell
energy relative to the elements = 128 kJ per mole of atoms
Fermi-level density of states = 4.7 states/eV/f.u.